Entry 1:
5
Lattice="7.022 0.000 0.000 0.000 7.022 0.000 0.000 0.000 5.376" Properties=species:S:1:pos:R:3 comment="Rb2CuHgI, optimized geometry, DFT PBE" sg="P4/mmm (123)" pbc="T T T"
Rb 0.000 3.511 0.000
Rb 3.511 0.000 0.000
Cu 0.000 0.000 2.688
Hg 3.511 3.511 2.688
I 0.000 0.000 0.000

---

Entry 2:
13
Lattice="2.592 -6.344 0.000 2.592 6.344 0.000 -2.344 0.000 6.837" Properties=species:S:1:pos:R:3 comment="PmAl11Rh, optimized geometry, DFT PBE" delta_e_f_mev_per_atom=-303.4 sg="C2/m (12)" pbc="T T T"
Pm 0.000 0.000 0.000
Al -1.172 0.000 3.419
Al 1.296 3.172 0.000
Al 0.102 2.225 2.453
Al 0.214 1.387 5.277
Al 0.102 -2.225 2.453
Al 1.296 -3.172 0.000
Al 0.214 -1.387 5.277
Al 2.626 1.387 1.560
Al 2.738 2.225 4.384
Al 2.626 -1.387 1.560
Al 2.738 -2.225 4.384
Rh 1.420 0.000 3.419

---

Entry 3:
5
Lattice="3.710 0.000 0.000 0.000 3.710 0.000 0.000 0.000 6.991" Properties=species:S:1:pos:R:3 comment="FeTeAsN2, optimized geometry, DFT PBE" sg="P4/mmm (123)" pbc="T T T"
Fe 0.000 0.000 0.000
Te 1.855 1.855 0.000
As 1.855 1.855 3.496
N 0.000 1.855 3.496
N 1.855 0.000 3.496

---

Entry 4:
8
Lattice="3.950 0.000 0.000 0.000 4.216 0.000 0.000 0.000 10.928" Properties=species:S:1:pos:R:3 comment="Er4Ga3Cu, optimized geometry, DFT PBE" delta_e_f_mev_per_atom=-509.7 sg="Pmm2 (25)" pbc="T T T"
Er 0.000 0.000 0.000
Er 0.000 2.108 3.024
Er 1.975 0.000 5.307
Er 1.975 2.108 8.566
Ga 0.000 0.000 7.778
Ga 0.000 2.108 6.121
Ga 1.975 2.108 0.669
Cu 1.975 0.000 2.291

---

| no. | VASP energy (eV/atom) |
| --- | --- |
| 1 | -1.687 |
| 2 | -4.401 |
| 3 | -5.175 |
| 4 | -4.438 |